# 1
VASP calculation (PBE-GGA) on crystalline YZn2W at its relaxed geometry.

The space group is I-42d (No. 122) and the conventional cell measures 4.3074, 4.3074 and 18.6455 Å, with angles of 90.00, 90.00 and 90.00 degrees. Symmetry generates all atoms from Y at (0.0000, 0.0000, 0.0000), Zn at (0.1416, 0.2500, 0.6250) and W at (0.0000, 0.0000, 0.5000).

As for the final energy: -4.827 eV per atom. The value obtained for the formation energy is 0.664 eV/atom. For the density of states at the Fermi level, the calculation gives 5.17 states/eV/f.u.

***

# 2
VASP calculation (PBE-GGA) on crystalline Y2ZnW at its relaxed geometry.

The space group is Pm (No. 6) and the conventional cell measures 3.2479, 4.8527 and 5.9810 Å, with angles of 90.00, 105.60 and 90.00 degrees. Symmetry generates all atoms from Y at (0.0000, 0.0000, 0.0000), Y at (0.3076, 0.5000, 0.6191), Zn at (0.5884, 0.5000, 0.1767) and W at (0.7200, 0.0000, 0.4433).

As for the final energy: -6.530 eV per atom. The value obtained for the formation energy is 0.259 eV/atom. For the density of states at the Fermi level, the calculation gives 3.12 states/eV/f.u.

***

# 3
VASP calculation (PBE-GGA) on crystalline YZnW at its relaxed geometry.

The space group is Imm2 (No. 44) and the conventional cell measures 3.0819, 3.7473 and 10.2446 Å, with angles of 90.00, 90.00 and 90.00 degrees. Symmetry generates all atoms from Y at (0.0000, 0.0000, 0.0000), Zn at (0.0000, 0.0000, 0.6967) and W at (0.0000, 0.0000, 0.3117).

As for the final energy: -6.551 eV per atom. The value obtained for the formation energy is 0.346 eV/atom. For the density of states at the Fermi level, the calculation gives 2.76 states/eV/f.u.